First-principles (PBE-GGA) data for a relaxed structure of SrNd2Tl2, as listed in Alexandria.

Cell and atoms, written as extended XYZ:
```
10
Lattice="6.884 0.798 -0.580 4.128 5.601 0.047 2.944 0.513 9.053" Properties=species:S:1:pos:R:3 pbc="T T T"
Sr 3.319 3.369 1.276
Tl 6.254 5.161 0.310
Nd 7.024 4.799 6.594
Sr 10.636 3.543 7.244
Nd 6.079 1.154 5.452
Tl 4.905 3.882 4.152
Nd 6.931 2.114 1.927
Nd 7.876 5.758 3.069
Tl 9.051 3.030 4.368
Tl 7.701 1.751 8.210
```

Output
Space-group type: No. 2
Calculated density: 8.0 g/cm³
E above lowest polymorph: 0.0000 eV/atom
Crystal system: triclinic
Spin magnetization: 0.000 μB/f.u.
Energy of formation from the pure elements: -0.26 eV per atom